Run 1
Below is crystalline SrLi2GeH at its relaxed geometry, with properties calculated at the PBE level.

Lattice parameters (Å, degrees): 4.422 4.422 4.973 90.00 90.00 90.00
Positions (direct):
Sr 0.000 0.000 0.000
Li 0.000 0.500 0.500
Li 0.500 0.000 0.500
Ge 0.500 0.500 0.000
H 0.000 0.000 0.500

Results
Total moment ... 0.00 μB/f.u.
Crystal system ... tetragonal

***

Run 2
Below is crystalline SrLi2GeH at its relaxed geometry, with properties calculated at the PBE level.

Lattice parameters (Å, degrees): 6.217 6.217 8.237 90.00 90.00 145.38
Positions (direct):
Sr 0.042 0.958 0.750
Sr 0.958 0.042 0.250
Li 0.336 0.664 0.545
Li 0.336 0.664 0.955
Li 0.664 0.336 0.045
Li 0.664 0.336 0.455
Ge 0.234 0.766 0.250
Ge 0.766 0.234 0.750
H 0.500 0.500 0.000
H 0.500 0.500 0.500

Results
Total moment ... 0.00 μB/f.u.
Crystal system ... orthorhombic

***

Most stable pick: run 2. Distance to second place: 133 meV/atom.